[1]
DFT (PBE) results for an optimized crystal structure of IrC2.

Summary:
The value obtained for the formation energy is 6.097 eV/f.u. The calculation puts the energy above the lowest structure with this stoichiometry at 1443 meV per atom. As for the symmetry: P-3m1.

Unit cell a=3.368 b=3.368 c=4.932 alpha=90.00 beta=90.00 gamma=120.00
Fractional positions:
Ir (0.000, 0.000, 0.000)
C (0.333, 0.667, 0.137)
C (0.667, 0.333, 0.863)

=====

[2]
DFT (PBE) results for an optimized crystal structure of Ac4Zn3Si.

Summary:
The raw formation energy is -0.311 eV per atom. As for the symmetry: Pmm2.

Unit cell a=4.347 b=4.589 c=12.072 alpha=90.00 beta=90.00 gamma=90.00
Fractional positions:
Ac (0.000, 0.000, 0.000)
Ac (0.000, 0.500, 0.485)
Ac (0.500, 0.000, 0.702)
Ac (0.500, 0.500, 0.205)
Zn (0.000, 0.500, 0.786)
Zn (0.500, 0.000, 0.405)
Zn (0.500, 0.500, 0.913)
Si (0.000, 0.000, 0.280)

=====

[3]
DFT (PBE) results for an optimized crystal structure of MnAsRu2W.

Summary:
The value obtained for the formation energy is 9.484 eV/f.u. As for the symmetry: P4/mmm.

Unit cell a=4.671 b=4.671 c=4.739 alpha=90.00 beta=90.00 gamma=90.00
Fractional positions:
Mn (0.000, 0.000, 0.000)
As (0.500, 0.500, 0.000)
Ru (0.000, 0.500, 0.500)
Ru (0.500, 0.000, 0.500)
W (0.500, 0.500, 0.500)

=====

[4]
DFT (PBE) results for an optimized crystal structure of NaCr3Bi.

Summary:
The value obtained for the formation energy is 5.958 eV/f.u. The calculation puts the energy above the lowest structure with this stoichiometry at 0 meV per atom. As for the symmetry: Pm-3m.

Unit cell a=5.425 b=5.425 c=5.425 alpha=90.00 beta=90.00 gamma=90.00
Fractional positions:
Na (0.000, 0.000, 0.000)
Cr (0.000, 0.500, 0.500)
Cr (0.500, 0.000, 0.500)
Cr (0.500, 0.500, 0.000)
Bi (0.500, 0.500, 0.500)

=====

[5]
DFT (PBE) results for an optimized crystal structure of Ho3B2AsRh9.

Summary:
The value obtained for the formation energy is -10.787 eV/f.u. As for the symmetry: P-3m1.

Unit cell a=6.091 b=6.091 c=7.503 alpha=90.00 beta=90.00 gamma=120.00
Fractional positions:
Ho (0.000, 0.000, 0.000)
Ho (0.333, 0.667, 0.669)
Ho (0.667, 0.333, 0.331)
B (0.333, 0.667, 0.145)
B (0.667, 0.333, 0.855)
As (0.000, 0.000, 0.500)
Rh (0.000, 0.500, 0.000)
Rh (0.177, 0.354, 0.317)
Rh (0.177, 0.823, 0.317)
Rh (0.354, 0.177, 0.683)
Rh (0.500, 0.000, 0.000)
Rh (0.500, 0.500, 0.000)
Rh (0.646, 0.823, 0.317)
Rh (0.823, 0.177, 0.683)
Rh (0.823, 0.646, 0.683)

=====

[6]
DFT (PBE) results for an optimized crystal structure of ThFe4As12.

Summary:
The value obtained for the formation energy is -7.144 eV/f.u. As for the symmetry: Im-3.

Unit cell a=7.219 b=7.219 c=7.219 alpha=109.47 beta=109.47 gamma=109.47
Fractional positions:
Th (0.000, 0.000, 0.000)
Fe (0.000, 0.000, 0.500)
Fe (0.000, 0.500, 0.000)
Fe (0.500, 0.000, 0.000)
Fe (0.500, 0.500, 0.500)
As (0.157, 0.342, 0.499)
As (0.157, 0.658, 0.814)
As (0.186, 0.843, 0.342)
As (0.342, 0.186, 0.843)
As (0.342, 0.499, 0.157)
As (0.499, 0.157, 0.342)
As (0.501, 0.843, 0.658)
As (0.658, 0.501, 0.843)
As (0.658, 0.814, 0.157)
As (0.814, 0.157, 0.658)
As (0.843, 0.342, 0.186)
As (0.843, 0.658, 0.501)

=====

[7]
DFT (PBE) results for an optimized crystal structure of Rb3U2CoS6.

Summary:
The raw formation energy is -1.102 eV per atom. As for the symmetry: C2/m.

Unit cell a=6.836 b=6.836 c=8.025 alpha=98.14 beta=98.14 gamma=120.00
Fractional positions:
Rb (0.000, 0.000, 0.000)
Rb (0.335, 0.665, 0.000)
Rb (0.665, 0.335, 0.000)
U (0.167, 0.833, 0.500)
U (0.833, 0.167, 0.500)
Co (0.500, 0.500, 0.500)
S (0.111, 0.438, 0.313)
S (0.236, 0.236, 0.687)
S (0.438, 0.111, 0.313)
S (0.562, 0.889, 0.687)
S (0.764, 0.764, 0.313)
S (0.889, 0.562, 0.687)

=====

[8]
DFT (PBE) results for an optimized crystal structure of BeCN2.

Summary:
The raw formation energy is 0.254 eV per atom. As for the symmetry: Cm.

Unit cell a=5.443 b=2.384 c=4.677 alpha=90.00 beta=103.59 gamma=90.00
Fractional positions:
Be (0.000, 0.000, 0.000)
Be (0.500, 0.500, 0.000)
C (0.075, 0.000, 0.394)
C (0.575, 0.500, 0.394)
N (0.105, 0.500, 0.551)
N (0.170, 0.500, 0.866)
N (0.605, 0.000, 0.551)
N (0.670, 0.000, 0.866)